A plane-wave DFT calculation with PBE+U was carried out for a relaxed MnRuNO crystal.

Values from the calculation:
- Energy above the most stable polymorph in this dataset: 0.138 eV per atom

Cell: 5.4465 2.8998 5.8316 Å, 90.00 99.58 90.00°
Closest atoms and distances in Å follow each position.
Space group Cm (No. 8)
Symmetry-distinct sites (fractional):
Mn 0.0000 0.0000 0.0000 x2  3 O 2.06, 3 N 2.09-2.24
Ru 0.2368 0.0000 0.4604 x2  2 N 1.99, 1 O 2.01
N 0.2419 0.5000 0.2271 x2  2 Ru 1.99, 1 Mn 2.09
O 0.2871 0.0000 0.8100 x2  1 Ru 2.01, 3 Mn 2.06